(1)
The following is a DFT calculation (GGA-PBE) of a geometry-optimized SmDy3Ho6Th2 structure.

Unit cell a=6.160 b=10.660 c=11.711 alpha=90.00 beta=100.11 gamma=90.00
Space group C2/m (No. 12)
One atom of each set of equivalent atoms:
Sm1 0.000 0.000 0.000
Dy1 0.000 0.166 0.500
Dy2 0.000 0.500 0.500
Ho1 0.246 0.500 0.249
Ho2 0.248 0.331 0.752
Th1 0.000 0.333 0.000

E_form	2.7	kJ per mole of atoms
total magnetic moment	0.00	μB per formula unit

---

(2)
The following is a DFT calculation (GGA-PBE) of a geometry-optimized Sm3Dy6HoTh2 structure.

Unit cell a=6.190 b=10.713 c=11.792 alpha=90.00 beta=100.09 gamma=90.00
Space group C2/m (No. 12)
One atom of each set of equivalent atoms:
Sm1 0.000 0.000 0.000
Sm2 0.000 0.334 0.000
Dy1 0.245 0.000 0.746
Dy2 0.249 0.168 0.254
Ho1 0.000 0.500 0.500
Th1 0.000 0.167 0.500

E_form	1.9	kJ per mole of atoms
total magnetic moment	0.00	μB per formula unit

---

(3)
The following is a DFT calculation (GGA-PBE) of a geometry-optimized Sm2DyHoTl2 structure.

Unit cell a=5.143 b=10.111 c=6.832 alpha=90.00 beta=90.00 gamma=90.00
Space group Pmc2_1 (No. 26)
One atom of each set of equivalent atoms:
Sm1 0.000 0.041 0.000
Sm2 0.500 0.187 0.275
Dy1 0.500 0.459 0.910
Ho1 0.000 0.316 0.629
Tl1 0.000 0.371 0.164
Tl2 0.500 0.142 0.745

E_form	-25.9	kJ per mole of atoms
total magnetic moment	0.00	μB per formula unit

---

(4)
The following is a DFT calculation (GGA-PBE) of a geometry-optimized SmDy2HoTl2 structure.

Unit cell a=5.122 b=10.006 c=6.839 alpha=90.00 beta=90.00 gamma=90.00
Space group Pmc2_1 (No. 26)
One atom of each set of equivalent atoms:
Sm1 0.000 0.043 0.000
Dy1 0.000 0.316 0.376
Dy2 0.500 0.456 0.092
Ho1 0.500 0.190 0.720
Tl1 0.000 0.366 0.837
Tl2 0.500 0.135 0.260

E_form	-25.9	kJ per mole of atoms
total magnetic moment	0.00	μB per formula unit

---

(5)
The following is a DFT calculation (GGA-PBE) of a geometry-optimized Sm3Dy2Ho6Tl structure.

Unit cell a=6.112 b=10.590 c=11.644 alpha=90.00 beta=100.15 gamma=90.00
Space group C2/m (No. 12)
One atom of each set of equivalent atoms:
Sm1 0.000 0.000 0.000
Sm2 0.000 0.333 0.000
Dy1 0.000 0.166 0.500
Ho1 0.245 0.336 0.745
Ho2 0.248 0.500 0.254
Tl1 0.000 0.500 0.500

E_form	-1.3	kJ per mole of atoms
total magnetic moment	0.00	μB per formula unit

---

(6)
The following is a DFT calculation (GGA-PBE) of a geometry-optimized SmDyHo2Tl4 structure.

Unit cell a=5.3805 b=5.3805 c=26.4233 alpha=90.00 beta=90.00 gamma=120.00
Space group R-3m (No. 166, hexagonal axes)
One atom of each set of equivalent atoms:
Sm1 0.0000 0.0000 0.0000
Dy1 0.0000 0.0000 0.5000
Ho1 0.0000 0.0000 0.2496
Tl1 0.0000 0.0000 0.1259
Tl2 0.0000 0.0000 0.3759

E_form	-32.8	kJ per mole of atoms
total magnetic moment	0.00	μB per formula unit

---

(7)
The following is a DFT calculation (GGA-PBE) of a geometry-optimized SmDy2HoTl4 structure.

Unit cell a=5.3869 b=5.3869 c=26.4521 alpha=90.00 beta=90.00 gamma=120.00
Space group R-3m (No. 166, hexagonal axes)
One atom of each set of equivalent atoms:
Sm1 0.0000 0.0000 0.0000
Dy1 0.0000 0.0000 0.2495
Ho1 0.0000 0.0000 0.5000
Tl1 0.0000 0.0000 0.1260
Tl2 0.0000 0.0000 0.3761

E_form	-33.2	kJ per mole of atoms
total magnetic moment	0.00	μB per formula unit

---

(8)
The following is a DFT calculation (GGA-PBE) of a geometry-optimized Sm2Dy2HoTm2 structure.

Unit cell a=5.6509 b=5.6509 c=24.3145 alpha=90.00 beta=90.00 gamma=120.00
Space group R-3m (No. 166, hexagonal axes)
One atom of each set of equivalent atoms:
Sm1 0.0000 0.0000 0.1390
Dy1 0.0000 0.0000 0.2843
Ho1 0.0000 0.0000 0.0000
Tm1 0.0000 0.0000 0.4272

E_form	13.7	kJ per mole of atoms
total magnetic moment	0.02	μB per formula unit

---

(9)
The following is a DFT calculation (GGA-PBE) of a geometry-optimized Sm6Dy3Ho2Tm structure.

Unit cell a=6.206 b=10.745 c=11.791 alpha=90.00 beta=100.07 gamma=90.00
Space group C2/m (No. 12)
One atom of each set of equivalent atoms:
Sm1 0.250 0.000 0.249
Sm2 0.250 0.167 0.751
Dy1 0.000 0.000 0.500
Dy2 0.000 0.333 0.500
Ho1 0.000 0.167 0.000
Tm1 0.000 0.500 0.000

E_form	1.4	kJ per mole of atoms
total magnetic moment	0.00	μB per formula unit

---

(10)
The following is a DFT calculation (GGA-PBE) of a geometry-optimized Sm6Dy3HoTm2 structure.

Unit cell a=6.200 b=10.737 c=11.777 alpha=90.00 beta=100.08 gamma=90.00
Space group C2/m (No. 12)
One atom of each set of equivalent atoms:
Sm1 0.250 0.000 0.249
Sm2 0.250 0.167 0.751
Dy1 0.000 0.000 0.500
Dy2 0.000 0.333 0.500
Ho1 0.000 0.500 0.000
Tm1 0.000 0.167 0.000

E_form	1.5	kJ per mole of atoms
total magnetic moment	0.00	μB per formula unit

---

(11)
The following is a DFT calculation (GGA-PBE) of a geometry-optimized SmDyHoTm3 structure.

Unit cell a=3.544 b=18.393 c=11.420 alpha=90.00 beta=90.00 gamma=90.00
Space group Cmcm (No. 63)
One atom of each set of equivalent atoms:
Sm1 0.000 0.056 0.250
Dy1 0.000 0.277 0.750
Ho1 0.000 0.500 0.000
Tm1 0.000 0.167 0.502
Tm2 0.000 0.388 0.250

E_form	1.2	kJ per mole of atoms
total magnetic moment	0.00	μB per formula unit

---

(12)
The following is a DFT calculation (GGA-PBE) of a geometry-optimized SmDy2HoTm2 structure.

Unit cell a=6.042 b=18.039 c=3.501 alpha=90.00 beta=90.00 gamma=90.00
Space group Pnnm (No. 58)
One atom of each set of equivalent atoms:
Sm1 0.000 0.000 0.000
Dy1 0.166 0.343 0.500
Ho1 0.000 0.500 0.000
Tm1 0.166 0.157 0.500

E_form	10.7	kJ per mole of atoms
total magnetic moment	0.00	μB per formula unit